(1)
Computed, not measured: a relaxed structure of LiHoAlRh at the PBE level of DFT.

Computed properties:
For the total energy, the calculation gives -4.9813 eV/atom. The calculated volume is 17.3 Å³ per atom. The space group is No. 216. For the total magnetization, the calculation gives 0.0 Bohr magnetons per cell. As for the crystal system: cubic.

Structure (POSCAR):
```
LiHoAlRh
1.0
0.000 3.261 3.261
3.261 0.000 3.261
3.261 3.261 0.000
Li Ho Al Rh
1 1 1 1
Direct
0.000 0.000 0.000
0.250 0.250 0.250
0.750 0.750 0.750
0.500 0.500 0.500
```

---

(2)
Computed, not measured: a relaxed structure of Li4Ho3AlS8 at the PBE level of DFT.

Computed properties:
The calculated volume is 19.3 Å³ per atom. The space group is No. 166. For the total magnetization, the calculation gives 0.0 Bohr magnetons per cell. As for the crystal system: trigonal. Its raw formation energy is -26.43 eV/f.u.

Structure (POSCAR):
```
Li4Ho3AlS8
1.0
3.807 2.198 6.146
-3.807 2.198 6.146
0.000 -4.396 6.146
Li Ho Al S
4 3 1 8
Direct
0.000 0.000 0.000
0.000 0.500 0.500
0.500 0.000 0.500
0.500 0.500 0.000
0.000 0.000 0.500
0.000 0.500 0.000
0.500 0.000 0.000
0.500 0.500 0.500
0.251 0.251 0.251
0.265 0.265 0.730
0.265 0.730 0.265
0.270 0.735 0.735
0.730 0.265 0.265
0.735 0.270 0.735
0.735 0.735 0.270
0.749 0.749 0.749
```

---

(3)
Computed, not measured: a relaxed structure of Li3Ho2AlS6 at the PBE level of DFT.

Computed properties:
The calculated volume is 19.0 Å³ per atom. The space group is No. 12. For the total magnetization, the calculation gives 0.0 Bohr magnetons per cell. As for the crystal system: monoclinic. Its raw formation energy is -19.25 eV/f.u.

Structure (POSCAR):
```
Li3Ho2AlS6
1.0
3.275 -5.685 0.000
3.275 5.685 0.000
-2.143 0.000 6.133
Li Ho Al S
3 2 1 6
Direct
0.000 0.000 0.000
0.345 0.655 0.000
0.655 0.345 0.000
0.168 0.832 0.500
0.832 0.168 0.500
0.500 0.500 0.500
0.113 0.420 0.258
0.270 0.270 0.736
0.420 0.113 0.258
0.580 0.887 0.742
0.730 0.730 0.264
0.887 0.580 0.742
```

---

(4)
Computed, not measured: a relaxed structure of LiHo2AlS5 at the PBE level of DFT.

Computed properties:
The calculated volume is 19.2 Å³ per atom. The space group is No. 36. For the total magnetization, the calculation gives 0.0 Bohr magnetons per cell. As for the crystal system: orthorhombic. Its raw formation energy is -14.88 eV/f.u.

Structure (POSCAR):
```
LiHo2AlS5
1.0
1.880 -8.272 0.000
1.880 8.272 0.000
0.000 0.000 11.123
Li Ho Al S
2 4 2 10
Direct
0.214 0.786 0.500
0.786 0.214 0.000
0.122 0.878 0.162
0.133 0.867 0.785
0.867 0.133 0.285
0.878 0.122 0.662
0.431 0.569 0.938
0.569 0.431 0.438
0.044 0.956 0.546
0.293 0.707 0.150
0.314 0.686 0.832
0.359 0.641 0.482
0.500 0.500 0.263
0.500 0.500 0.763
0.641 0.359 0.982
0.686 0.314 0.332
0.707 0.293 0.650
0.956 0.044 0.046
```

---

(5)
Computed, not measured: a relaxed structure of LiHoScAl at the PBE level of DFT.

Computed properties:
For the total energy, the calculation gives -4.3529 eV/atom. The calculated volume is 21.9 Å³ per atom. The space group is No. 216. For the total magnetization, the calculation gives 0.0 Bohr magnetons per cell. As for the crystal system: cubic.

Structure (POSCAR):
```
LiHoScAl
1.0
0.000 3.526 3.526
3.526 0.000 3.526
3.526 3.526 0.000
Li Ho Sc Al
1 1 1 1
Direct
0.000 0.000 0.000
0.250 0.250 0.250
0.750 0.750 0.750
0.500 0.500 0.500
```

---

(6)
Computed, not measured: a relaxed structure of Li3Ho2AlSe6 at the PBE level of DFT.

Computed properties:
The calculated volume is 21.9 Å³ per atom. The space group is No. 12. For the total magnetization, the calculation gives 0.0 Bohr magnetons per cell. As for the crystal system: monoclinic. Its raw formation energy is -17.26 eV/f.u.

Structure (POSCAR):
```
Li3Ho2AlSe6
1.0
3.427 -5.940 0.000
3.427 5.940 0.000
-2.272 0.000 6.455
Li Ho Al Se
3 2 1 6
Direct
0.000 0.000 0.000
0.340 0.660 0.000
0.660 0.340 0.000
0.168 0.832 0.500
0.832 0.168 0.500
0.500 0.500 0.500
0.109 0.418 0.255
0.271 0.271 0.739
0.418 0.109 0.255
0.582 0.891 0.745
0.729 0.729 0.261
0.891 0.582 0.745
```

---

(7)
Computed, not measured: a relaxed structure of Li3Ho3AlSe8 at the PBE level of DFT.

Computed properties:
The calculated volume is 23.7 Å³ per atom. The space group is No. 166. For the total magnetization, the calculation gives 0.0 Bohr magnetons per cell. As for the crystal system: trigonal. Its raw formation energy is -21.38 eV/f.u.

Structure (POSCAR):
```
Li3Ho3AlSe8
1.0
3.993 2.305 6.433
-3.993 2.305 6.433
0.000 -4.611 6.433
Li Ho Al Se
3 3 1 8
Direct
0.000 0.500 0.500
0.500 0.000 0.500
0.500 0.500 0.000
0.000 0.000 0.500
0.000 0.500 0.000
0.500 0.000 0.000
0.500 0.500 0.500
0.252 0.252 0.252
0.266 0.266 0.729
0.266 0.729 0.266
0.271 0.734 0.734
0.729 0.266 0.266
0.734 0.271 0.734
0.734 0.734 0.271
0.748 0.748 0.748
```

---

(8)
Computed, not measured: a relaxed structure of Li2HoAlSe4 at the PBE level of DFT.

Computed properties:
The calculated volume is 21.2 Å³ per atom. The space group is No. 74. For the total magnetization, the calculation gives 0.0 Bohr magnetons per cell. As for the crystal system: orthorhombic. Its raw formation energy is -10.47 eV/f.u.

Structure (POSCAR):
```
Li2HoAlSe4
1.0
-3.825 4.006 5.534
3.825 -4.006 5.534
3.825 4.006 -5.534
Li Ho Al Se
4 2 2 8
Direct
0.000 0.000 0.000
0.500 0.000 0.000
0.500 0.000 0.500
0.500 0.500 0.500
0.000 0.500 0.500
0.500 0.500 0.000
0.000 0.000 0.500
0.000 0.500 0.000
0.217 0.244 0.973
0.229 0.756 0.473
0.244 0.236 0.491
0.244 0.753 0.009
0.756 0.247 0.991
0.756 0.764 0.509
0.771 0.244 0.527
0.783 0.756 0.027
```

---

(9)
Computed, not measured: a relaxed structure of LiSmHoAl at the PBE level of DFT.

Computed properties:
For the total energy, the calculation gives -3.9413 eV/atom. The calculated volume is 24.7 Å³ per atom. The space group is No. 216. For the total magnetization, the calculation gives 0.0 Bohr magnetons per cell. As for the crystal system: cubic.

Structure (POSCAR):
```
LiSmHoAl
1.0
0.000 3.671 3.671
3.671 0.000 3.671
3.671 3.671 0.000
Li Sm Ho Al
1 1 1 1
Direct
0.000 0.000 0.000
0.750 0.750 0.750
0.250 0.250 0.250
0.500 0.500 0.500
```

---

(10)
Computed, not measured: a relaxed structure of Li2HoAlSn2 at the PBE level of DFT.

Computed properties:
For the total energy, the calculation gives -3.7872 eV/atom. The calculated volume is 22.8 Å³ per atom. The space group is No. 26. For the total magnetization, the calculation gives 0.0 Bohr magnetons per cell. As for the crystal system: orthorhombic.

Structure (POSCAR):
```
Li2HoAlSn2
1.0
4.420 0.000 0.000
0.000 8.458 0.000
0.000 0.000 7.317
Li Ho Al Sn
4 2 2 4
Direct
0.000 0.081 0.000
0.000 0.919 0.500
0.500 0.166 0.328
0.500 0.834 0.828
0.500 0.448 0.960
0.500 0.552 0.460
0.000 0.323 0.635
0.000 0.677 0.135
0.000 0.354 0.245
0.000 0.646 0.745
0.500 0.147 0.718
0.500 0.853 0.218
```

---

(11)
Computed, not measured: a relaxed structure of SrLiHoAl at the PBE level of DFT.

Computed properties:
For the total energy, the calculation gives -3.0303 eV/atom. The calculated volume is 27.8 Å³ per atom. The space group is No. 216. For the total magnetization, the calculation gives 0.0 Bohr magnetons per cell. As for the crystal system: cubic.

Structure (POSCAR):
```
SrLiHoAl
1.0
0.000 3.817 3.817
3.817 0.000 3.817
3.817 3.817 0.000
Sr Li Ho Al
1 1 1 1
Direct
0.000 0.000 0.000
0.250 0.250 0.250
0.500 0.500 0.500
0.750 0.750 0.750
```

---

(12)
Computed, not measured: a relaxed structure of LiHoAlTc at the PBE level of DFT.

Computed properties:
For the total energy, the calculation gives -5.2385 eV/atom. The calculated volume is 17.5 Å³ per atom. The space group is No. 216. For the total magnetization, the calculation gives 0.0 Bohr magnetons per cell. As for the crystal system: cubic.

Structure (POSCAR):
```
LiHoAlTc
1.0
0.000 3.268 3.268
3.268 0.000 3.268
3.268 3.268 0.000
Li Ho Al Tc
1 1 1 1
Direct
0.000 0.000 0.000
0.250 0.250 0.250
0.750 0.750 0.750
0.500 0.500 0.500
```